[1]
An optimized crystal structure of Pu2NbCd, computed with PBE.

```
4
Lattice="3.108 0.000 0.000 0.000 3.108 0.000 0.000 0.000 9.604" Properties=species:S:1:pos:R:3 pbc="T T T"
Pu 0.000 0.000 2.229
Pu 0.000 0.000 7.375
Nb 1.554 1.554 0.000
Cd 1.554 1.554 4.802
```

DFT total energy	-39.13	eV per cell
offset from the most stable computed form	0	meV/atom
energy relative to the elements	0.13	eV/atom
magnetic moment	11.02	μB per formula unit
DOS at the Fermi energy	9.96	states/eV/f.u.

[2]
An optimized crystal structure of Pu2NbCd, computed with PBE.

```
12
Lattice="3.154 0.000 0.000 -1.577 2.731 0.000 0.000 0.000 34.377" Properties=species:S:1:pos:R:3 pbc="T T T"
Pu 0.000 0.000 3.252
Pu 0.000 0.000 31.124
Pu 0.000 1.821 19.665
Pu 0.000 1.821 26.170
Pu 1.577 0.910 8.206
Pu 1.577 0.910 14.711
Nb 0.000 0.000 17.188
Nb 0.000 1.821 5.729
Nb 1.577 0.910 28.647
Cd 0.000 0.000 0.000
Cd 0.000 1.821 22.918
Cd 1.577 0.910 11.459
```

DFT total energy	-114.81	eV per cell
offset from the most stable computed form	214	meV/atom
energy relative to the elements	0.34	eV/atom
magnetic moment	11.10	μB per formula unit
DOS at the Fermi energy	13.83	states/eV/f.u.